[1]
Compound: RbTbCd
Source: the Alexandria database
Functional: PBE
Structure: relaxed

Energy relative to the elements (meV per atom): 238
Crystal system: orthorhombic
Total magnetic moment (Bohr magnetons per cell): 0.008
Symmetry: Amm2

Lattice parameters (Å, degrees): 18.100 3.864 3.864 60.14 90.00 90.00
Element x y z (fractional)
Rb: 0.171 0.000 0.000
Rb: 0.829 0.000 0.000
Tb: 0.375 0.338 0.338
Tb: 0.625 0.338 0.338
Cd: 0.000 0.335 0.335
Cd: 0.500 0.004 0.004

[2]
Compound: HRhW
Source: the Alexandria database
Functional: PBE
Structure: relaxed

Crystal system: orthorhombic
Total magnetic moment (Bohr magnetons per cell): 0.000
Uncorrected energy (eV per atom): -7.74
Symmetry: Pnma

Lattice parameters (Å, degrees): 5.044 4.467 5.969 90.00 90.00 90.00
Element x y z (fractional)
H: 0.084 0.250 0.105
H: 0.416 0.750 0.605
H: 0.584 0.250 0.395
H: 0.916 0.750 0.895
Rh: 0.092 0.750 0.143
Rh: 0.408 0.250 0.643
Rh: 0.592 0.750 0.357
Rh: 0.908 0.250 0.857
W: 0.060 0.750 0.614
W: 0.440 0.250 0.114
W: 0.560 0.750 0.886
W: 0.940 0.250 0.386

[3]
Compound: Zr2CoGeAu
Source: the Alexandria database
Functional: PBE
Structure: relaxed

Energy relative to the elements (meV per atom): 267
Crystal system: tetragonal
Total magnetic moment (Bohr magnetons per cell): 0.022
Symmetry: P4/mmm

Lattice parameters (Å, degrees): 5.022 5.022 4.216 90.00 90.00 90.00
Element x y z (fractional)
Zr: 0.000 0.500 0.000
Zr: 0.500 0.000 0.000
Co: 0.000 0.000 0.500
Ge: 0.000 0.000 0.000
Au: 0.500 0.500 0.500